Record 1
First-principles (GGA-PBEsol) data for a relaxed NiMoOs crystal, as listed in the Alexandria database.

abc: 4.083 4.083 4.083
angles: 60.00 60.00 60.00
Positions (direct):
Mo 0.000 0.000 0.000
Ni 0.500 0.500 0.500
Os 0.250 0.250 0.250

Output
- Calculated volume: 48.1 Å³/cell
- D(E_F): 0.97 states/eV per atom
- Crystal system: cubic
- Formation energy from the elements: 2.00 eV/f.u.

Record 2
First-principles (GGA-PBEsol) data for a relaxed NiMoOs3 crystal, as listed in the Alexandria database.

abc: 4.588 4.588 4.588
angles: 90.00 90.00 90.00
Each line ends with the local moment (μB).
Positions (direct):
Ni 0.500 0.500 0.500  0.94
Mo 0.000 0.000 0.000  -0.06
Os 0.000 0.500 0.000  0.53
Os 0.000 0.000 0.500  0.53
Os 0.500 0.000 0.000  0.53

Output
- Calculated volume: 96.6 Å³/cell
- D(E_F): 1.27 states/eV per atom
- Crystal system: cubic
- Formation energy from the elements: 13.13 eV/f.u.

Record 3
First-principles (GGA-PBEsol) data for a relaxed Ni4MoOs crystal, as listed in the Alexandria database.

abc: 4.606 4.606 4.606
angles: 60.00 60.00 60.00
Each line ends with the local moment (μB).
Positions (direct):
Mo 0.000 0.000 0.000  -0.04
Ni 0.375 0.375 0.375  0.34
Ni 0.375 0.375 0.874  0.34
Ni 0.874 0.375 0.375  0.34
Ni 0.375 0.874 0.375  0.34
Os 0.750 0.750 0.750  0.24

Output
- Calculated volume: 69.1 Å³/cell
- D(E_F): 0.99 states/eV per atom
- Crystal system: cubic
- Formation energy from the elements: -0.07 eV/f.u.

Record 4
First-principles (GGA-PBEsol) data for a relaxed NiMoOs3 crystal, as listed in the Alexandria database.

abc: 4.306 4.306 4.306
angles: 90.00 90.00 90.00
Each line ends with the local moment (μB).
Positions (direct):
Ni 0.000 0.000 0.000  0.28
Mo 0.500 0.500 0.500  -0.17
Os 0.000 0.500 0.000  0.12
Os 0.000 0.000 0.500  0.12
Os 0.500 0.000 0.000  0.12

Output
- Calculated volume: 79.8 Å³/cell
- D(E_F): 1.51 states/eV per atom
- Crystal system: cubic
- Formation energy from the elements: 9.50 eV/f.u.

Record 5
First-principles (GGA-PBEsol) data for a relaxed NiMoOs crystal, as listed in the Alexandria database.

abc: 2.622 4.203 4.203
angles: 120.00 90.00 90.00
Positions (direct):
Mo 0.833 0.000 0.000
Ni 0.834 0.333 0.667
Os 0.333 0.667 0.333

Output
- Calculated volume: 40.1 Å³/cell
- D(E_F): 1.16 states/eV per atom
- Crystal system: hexagonal
- Formation energy from the elements: 0.38 eV/f.u.

Record 6
First-principles (GGA-PBEsol) data for a relaxed NiMoOs crystal, as listed in the Alexandria database.

abc: 2.652 2.652 5.949
angles: 102.88 102.88 90.00
Positions (direct):
Mo 0.996 0.996 0.991
Ni 0.332 0.332 0.663
Os 0.673 0.673 0.346

Output
- Calculated volume: 39.7 Å³/cell
- D(E_F): 1.26 states/eV per atom
- Crystal system: tetragonal
- Formation energy from the elements: 0.42 eV/f.u.

Record 7
First-principles (GGA-PBEsol) data for a relaxed Ni2MoP crystal, as listed in the Alexandria database.

abc: 2.658 2.658 7.980
angles: 80.41 80.41 60.00
Positions (direct):
Mo 0.000 0.000 0.000
Ni 0.239 0.239 0.282
Ni 0.761 0.761 0.718
P 0.500 0.500 0.500

Output
- Calculated volume: 47.9 Å³/cell
- D(E_F): 0.80 states/eV per atom
- Crystal system: trigonal
- Formation energy from the elements: -0.35 eV/f.u.

Record 8
First-principles (GGA-PBEsol) data for a relaxed Ni3Mo2P crystal, as listed in the Alexandria database.

abc: 4.697 4.697 7.313
angles: 90.00 90.00 120.00
Positions (direct):
Ni 0.832 0.168 0.250
Ni 0.336 0.168 0.250
Ni 0.832 0.664 0.250
Ni 0.168 0.832 0.750
Ni 0.664 0.832 0.750
Ni 0.168 0.336 0.750
Mo 0.333 0.667 0.064
Mo 0.667 0.333 0.936
Mo 0.667 0.333 0.564
Mo 0.333 0.667 0.436
P 0.000 0.000 0.000
P 0.000 0.000 0.500

Output
- Calculated volume: 139.7 Å³/cell
- D(E_F): 1.01 states/eV per atom
- Crystal system: hexagonal
- Formation energy from the elements: -2.25 eV/f.u.

Record 9
First-principles (GGA-PBEsol) data for a relaxed Ni2MoP crystal, as listed in the Alexandria database.

abc: 2.874 2.874 5.675
angles: 90.00 90.00 90.00
Positions (direct):
Mo 0.500 0.500 0.750
Ni 0.000 0.000 0.020
Ni 0.500 0.500 0.273
P 0.000 0.000 0.457

Output
- Calculated volume: 46.9 Å³/cell
- D(E_F): 0.78 states/eV per atom
- Crystal system: tetragonal
- Formation energy from the elements: -0.78 eV/f.u.

Record 10
First-principles (GGA-PBEsol) data for a relaxed Ni6Mo2P3 crystal, as listed in the Alexandria database.

abc: 3.485 5.624 12.751
angles: 90.00 90.00 90.00
Positions (direct):
Mo 0.500 0.616 0.832
Mo 0.500 0.616 0.168
Mo 0.000 0.384 0.668
Mo 0.000 0.384 0.332
Ni 0.500 0.135 0.790
Ni 0.500 0.135 0.210
Ni 0.000 0.865 0.710
Ni 0.000 0.865 0.290
Ni 0.500 0.051 0.401
Ni 0.500 0.051 0.599
Ni 0.000 0.949 0.099
Ni 0.000 0.949 0.901
Ni 0.000 0.560 0.000
Ni 0.500 0.440 0.500
Ni 0.500 0.227 0.000
Ni 0.000 0.773 0.500
P 0.500 0.678 0.638
P 0.500 0.678 0.362
P 0.000 0.322 0.862
P 0.000 0.322 0.138
P 0.500 0.825 0.000
P 0.000 0.175 0.500

Output
- Calculated volume: 249.9 Å³/cell
- D(E_F): 0.73 states/eV per atom
- Crystal system: orthorhombic
- Formation energy from the elements: -5.99 eV/f.u.

Record 11
First-principles (GGA-PBEsol) data for a relaxed Ni2MoP crystal, as listed in the Alexandria database.

abc: 2.708 2.708 7.834
angles: 80.05 80.05 60.00
Positions (direct):
Mo 0.248 0.248 0.255
Ni 0.003 0.003 0.991
Ni 0.756 0.756 0.731
P 0.492 0.492 0.523

Output
- Calculated volume: 48.7 Å³/cell
- D(E_F): 1.01 states/eV per atom
- Crystal system: trigonal
- Formation energy from the elements: 0.00 eV/f.u.

Record 12
First-principles (GGA-PBEsol) data for a relaxed NiMo2Pb crystal, as listed in the Alexandria database.

abc: 3.250 3.250 6.346
angles: 90.00 90.00 90.00
Positions (direct):
Mo 0.000 0.000 0.818
Mo 0.000 0.000 0.182
Ni 0.500 0.500 0.000
Pb 0.500 0.500 0.500

Output
- Calculated volume: 67.0 Å³/cell
- D(E_F): 0.96 states/eV per atom
- Crystal system: tetragonal
- Formation energy from the elements: 2.01 eV/f.u.

Record 13
First-principles (GGA-PBEsol) data for a relaxed NiMoPb2 crystal, as listed in the Alexandria database.

abc: 4.711 4.711 4.711
angles: 60.00 60.00 60.00
Positions (direct):
Mo 0.500 0.500 0.500
Ni 0.000 0.000 0.000
Pb 0.750 0.750 0.750
Pb 0.250 0.250 0.250

Output
- Calculated volume: 73.9 Å³/cell
- D(E_F): 0.62 states/eV per atom
- Crystal system: cubic
- Formation energy from the elements: 2.85 eV/f.u.

Record 14
First-principles (GGA-PBEsol) data for a relaxed NiMo3Pb crystal, as listed in the Alexandria database.

abc: 4.485 4.485 4.485
angles: 90.00 90.00 90.00
Positions (direct):
Pb 0.500 0.500 0.500
Ni 0.000 0.000 0.000
Mo 0.000 0.500 0.000
Mo 0.000 0.000 0.500
Mo 0.500 0.000 0.000

Output
- Calculated volume: 90.2 Å³/cell
- D(E_F): 1.07 states/eV per atom
- Crystal system: cubic
- Formation energy from the elements: 6.28 eV/f.u.

Record 15
First-principles (GGA-PBEsol) data for a relaxed NiMoPb2 crystal, as listed in the Alexandria database.

abc: 3.203 3.203 8.653
angles: 79.33 79.33 60.00
Positions (direct):
Mo 0.500 0.500 0.500
Ni 0.000 0.000 0.000
Pb 0.255 0.255 0.234
Pb 0.745 0.745 0.766

Output
- Calculated volume: 75.1 Å³/cell
- D(E_F): 1.19 states/eV per atom
- Crystal system: trigonal
- Formation energy from the elements: 2.55 eV/f.u.

Record 16
First-principles (GGA-PBEsol) data for a relaxed NiMo2Pt crystal, as listed in the Alexandria database.

abc: 3.718 3.718 4.008
angles: 90.00 90.00 90.00
Positions (direct):
Ni 0.500 0.500 0.500
Mo 0.000 0.500 0.000
Mo 0.500 0.000 0.000
Pt 0.000 0.000 0.500

Output
- Calculated volume: 55.4 Å³/cell
- D(E_F): 0.93 states/eV per atom
- Crystal system: tetragonal
- Formation energy from the elements: -0.64 eV/f.u.

Record 17
First-principles (GGA-PBEsol) data for a relaxed Ni4MoPt crystal, as listed in the Alexandria database.

abc: 4.629 4.629 4.629
angles: 60.00 60.00 60.00
Positions (direct):
Mo 0.000 0.000 0.000
Ni 0.876 0.375 0.375
Ni 0.375 0.375 0.375
Ni 0.375 0.375 0.876
Ni 0.375 0.876 0.375
Pt 0.750 0.750 0.750

Output
- Calculated volume: 70.1 Å³/cell
- D(E_F): 0.87 states/eV per atom
- Crystal system: cubic
- Formation energy from the elements: -0.86 eV/f.u.

Record 18
First-principles (GGA-PBEsol) data for a relaxed NiMo2Pt crystal, as listed in the Alexandria database.

abc: 2.671 2.671 7.835
angles: 90.00 90.00 90.00
Positions (direct):
Ni 0.000 0.000 0.496
Mo 0.000 0.000 0.990
Mo 0.500 0.500 0.275
Pt 0.500 0.500 0.739

Output
- Calculated volume: 55.9 Å³/cell
- D(E_F): 0.84 states/eV per atom
- Crystal system: tetragonal
- Formation energy from the elements: -0.45 eV/f.u.

Record 19
First-principles (GGA-PBEsol) data for a relaxed Ni2MoPt crystal, as listed in the Alexandria database.

abc: 2.664 3.720 5.145
angles: 90.00 89.95 90.00
Positions (direct):
Ni 0.000 0.000 0.006
Ni 0.500 0.500 0.231
Mo 0.500 0.500 0.767
Pt 0.000 0.000 0.495

Output
- Calculated volume: 51.0 Å³/cell
- D(E_F): 0.74 states/eV per atom
- Crystal system: orthorhombic
- Formation energy from the elements: -0.61 eV/f.u.

Record 20
First-principles (GGA-PBEsol) data for a relaxed Ni2MoPt crystal, as listed in the Alexandria database.

abc: 2.666 2.666 7.152
angles: 90.00 90.00 90.00
Positions (direct):
Ni 0.000 0.000 0.989
Ni 0.500 0.500 0.768
Mo 0.500 0.500 0.231
Pt 0.000 0.000 0.511

Output
- Calculated volume: 50.8 Å³/cell
- D(E_F): 1.42 states/eV per atom
- Crystal system: tetragonal
- Formation energy from the elements: -0.42 eV/f.u.

Record 21
First-principles (GGA-PBEsol) data for a relaxed Ni2MoPt crystal, as listed in the Alexandria database.

abc: 2.651 4.451 4.583
angles: 100.44 106.81 90.00
Positions (direct):
Ni 0.996 0.996 0.993
Ni 0.253 0.760 0.506
Mo 0.747 0.241 0.494
Pt 0.503 0.504 0.006

Output
- Calculated volume: 50.8 Å³/cell
- D(E_F): 0.96 states/eV per atom
- Crystal system: monoclinic
- Formation energy from the elements: -0.48 eV/f.u.

Record 22
First-principles (GGA-PBEsol) data for a relaxed Ni2MoPt crystal, as listed in the Alexandria database.

abc: 2.642 4.452 4.655
angles: 99.31 90.00 107.26
Positions (direct):
Mo 0.500 0.000 0.000
Ni 0.750 0.499 0.764
Ni 0.250 0.501 0.236
Pt 0.000 0.000 0.500

Output
- Calculated volume: 51.5 Å³/cell
- D(E_F): 1.11 states/eV per atom
- Crystal system: monoclinic
- Formation energy from the elements: -0.38 eV/f.u.

Record 23
First-principles (GGA-PBEsol) data for a relaxed Ni2MoPt crystal, as listed in the Alexandria database.

abc: 3.721 3.721 4.510
angles: 114.37 114.37 90.00
Positions (direct):
Ni 0.750 0.250 0.500
Ni 0.250 0.750 0.500
Mo 0.000 0.000 0.000
Pt 0.500 0.500 0.000

Output
- Calculated volume: 50.7 Å³/cell
- D(E_F): 0.77 states/eV per atom
- Crystal system: tetragonal
- Formation energy from the elements: -0.62 eV/f.u.

Record 24
First-principles (GGA-PBEsol) data for a relaxed NiMo2Pt crystal, as listed in the Alexandria database.

abc: 2.656 3.947 5.286
angles: 90.00 89.97 90.00
Positions (direct):
Ni 0.500 0.500 0.000
Mo 0.000 0.000 0.765
Mo 0.000 0.000 0.235
Pt 0.500 0.500 0.500

Output
- Calculated volume: 55.4 Å³/cell
- D(E_F): 0.81 states/eV per atom
- Crystal system: orthorhombic
- Formation energy from the elements: -0.67 eV/f.u.

Record 25
First-principles (GGA-PBEsol) data for a relaxed Ni2MoPt crystal, as listed in the Alexandria database.

abc: 2.663 3.626 5.270
angles: 90.00 90.00 90.00
Positions (direct):
Ni 0.000 0.000 0.740
Ni 0.000 0.000 0.260
Mo 0.500 0.500 0.500
Pt 0.500 0.500 0.000

Output
- Calculated volume: 50.9 Å³/cell
- D(E_F): 0.90 states/eV per atom
- Crystal system: orthorhombic
- Formation energy from the elements: -0.47 eV/f.u.

Record 26
First-principles (GGA-PBEsol) data for a relaxed Ni2MoPt crystal, as listed in the Alexandria database.

abc: 3.631 3.631 4.616
angles: 113.16 113.16 90.00
Positions (direct):
Ni 0.500 0.500 0.000
Ni 0.250 0.750 0.500
Mo 0.750 0.250 0.500
Pt 0.000 0.000 0.000

Output
- Calculated volume: 50.6 Å³/cell
- D(E_F): 0.82 states/eV per atom
- Crystal system: tetragonal
- Formation energy from the elements: -0.84 eV/f.u.

Record 27
First-principles (GGA-PBEsol) data for a relaxed NiMo2Pt crystal, as listed in the Alexandria database.

abc: 3.711 3.711 4.806
angles: 112.71 112.71 90.00
Positions (direct):
Ni 0.500 0.500 0.000
Mo 0.250 0.750 0.500
Mo 0.750 0.250 0.500
Pt 0.000 0.000 0.000

Output
- Calculated volume: 55.4 Å³/cell
- D(E_F): 0.95 states/eV per atom
- Crystal system: tetragonal
- Formation energy from the elements: -0.64 eV/f.u.

Record 28
First-principles (GGA-PBEsol) data for a relaxed NiMo2Pt crystal, as listed in the Alexandria database.

abc: 2.673 4.332 4.794
angles: 90.00 90.00 90.00
Positions (direct):
Ni 0.500 0.000 0.541
Mo 0.000 0.000 0.034
Mo 0.000 0.500 0.704
Pt 0.500 0.500 0.221

Output
- Calculated volume: 55.5 Å³/cell
- D(E_F): 0.92 states/eV per atom
- Crystal system: orthorhombic
- Formation energy from the elements: -0.74 eV/f.u.

Record 29
First-principles (GGA-PBEsol) data for a relaxed NiMo2Pt crystal, as listed in the Alexandria database.

abc: 2.653 4.618 4.831
angles: 97.82 90.00 106.69
Positions (direct):
Mo 0.998 0.996 0.989
Mo 0.755 0.510 0.272
Ni 0.498 0.997 0.490
Pt 0.249 0.498 0.748

Output
- Calculated volume: 56.1 Å³/cell
- D(E_F): 0.92 states/eV per atom
- Crystal system: monoclinic
- Formation energy from the elements: -0.34 eV/f.u.